1.
BeCoSnO2, optimized geometry, DFT PBE+U; total DFT energy (no corrections) = -4.460 eV per atom; space group = P4/mmm, No. 123
1.0
3.633 0.000 0.000
0.000 5.435 0.000
0.000 0.000 3.633
Co Sn O Be
1 1 2 1
Cartesian
0.000 0.000 0.000
0.000 2.718 0.000
1.816 0.000 0.000
0.000 0.000 1.816
1.816 2.718 1.816


2.
MgV3O, optimized geometry, DFT PBE+U; offset from the most stable computed form = 2041.3 meV/atom; space group = Pm-3m, No. 221
1.0
5.028 0.000 0.000
0.000 5.028 0.000
0.000 0.000 5.028
V Mg O
3 1 1
Cartesian
0.000 0.000 2.514
2.514 0.000 0.000
0.000 2.514 0.000
0.000 0.000 0.000
2.514 2.514 2.514